Material: Nd2SnBr4
Method: DFT, PBE
State: optimized geometry

Cell: 6.3275 6.3275 5.2225 Å, 90.57 90.57 92.05°
Element x y z (fractional)
Nd 0.1709 0.1709 0.2639
Nd 0.8291 0.8291 0.7361
Sn 0.5000 0.5000 0.5000
Br 0.0567 0.6806 0.2480
Br 0.3194 0.9433 0.7520
Br 0.6806 0.0567 0.2480
Br 0.9433 0.3194 0.7520

---

Material: Na2DyO4
Method: DFT, PBE
State: optimized geometry

Cell: 6.7326 6.7326 6.7326 Å, 60.00 60.00 60.00°
Element x y z (fractional)
Na 0.0000 0.0000 0.0000
Na 0.0000 0.0000 0.5000
Na 0.0000 0.5000 0.0000
Na 0.5000 0.0000 0.0000
Dy 0.3750 0.3750 0.3750
Dy 0.6250 0.6250 0.6250
O 0.2392 0.7536 0.7536
O 0.2464 0.2464 0.2464
O 0.2464 0.2464 0.7608
O 0.2464 0.7608 0.2464
O 0.7536 0.2392 0.7536
O 0.7536 0.7536 0.2392
O 0.7536 0.7536 0.7536
O 0.7608 0.2464 0.2464

---

Material: Gd2TmAl3CoCu2
Method: DFT, PBE
State: optimized geometry

Cell: 4.0517 6.9506 6.9506 Å, 120.22 90.00 90.00°
Element x y z (fractional)
Gd 0.0000 0.2053 0.7947
Gd 0.0000 0.7947 0.2053
Tm 0.0000 0.3863 0.3863
Al 0.5000 0.0224 0.0224
Al 0.5000 0.5651 0.7918
Al 0.5000 0.7918 0.5651
Co 0.0000 0.7886 0.7886
Cu 0.5000 0.1326 0.4587
Cu 0.5000 0.4587 0.1326

---

Material: Er3Cd3In2Ag
Method: DFT, PBE
State: optimized geometry

Cell: 7.9135 7.9135 3.9398 Å, 90.00 90.00 120.00°
Element x y z (fractional)
Er 0.0000 0.3943 0.0000
Er 0.3943 0.0000 0.0000
Er 0.6057 0.6057 0.0000
Cd 0.0000 0.7391 0.5000
Cd 0.2609 0.2609 0.5000
Cd 0.7391 0.0000 0.5000
In 0.3333 0.6667 0.5000
In 0.6667 0.3333 0.5000
Ag 0.0000 0.0000 0.0000

---

Material: SrSmLu
Method: DFT, PBE
State: optimized geometry

Cell: 5.7319 5.7319 5.7319 Å, 60.00 60.00 60.00°
Element x y z (fractional)
Sr 0.0000 0.0000 0.0000
Sm 0.5000 0.5000 0.5000
Lu 0.7500 0.7500 0.7500

polymorph energy (0 for the lowest one) = 0 meV/atom

---

Material: Ta5Co
Method: DFT, PBE
State: optimized geometry

Cell: 5.4151 5.4151 8.1838 Å, 90.00 90.00 120.00°
Element x y z (fractional)
Ta 0.1684 0.3369 0.2500
Ta 0.1684 0.8316 0.2500
Ta 0.3333 0.6667 0.5601
Ta 0.3333 0.6667 0.9399
Ta 0.3369 0.1684 0.7500
Ta 0.6631 0.8316 0.2500
Ta 0.6667 0.3333 0.0601
Ta 0.6667 0.3333 0.4399
Ta 0.8316 0.1684 0.7500
Ta 0.8316 0.6631 0.7500
Co 0.0000 0.0000 0.0000
Co 0.0000 0.0000 0.5000

DFT formation energy = 14 meV per atom
polymorph energy (0 for the lowest one) = 5 meV/atom

---

Material: BaHoS2
Method: DFT, PBE
State: optimized geometry

Cell: 4.2247 4.2247 5.9485 Å, 90.00 90.00 90.00°
Element x y z (fractional)
Ba 0.0000 0.0000 0.0000
Ho 0.5000 0.5000 0.5000
S 0.0000 0.0000 0.5000
S 0.5000 0.5000 0.0000

---

Material: AcFe4Sb12
Method: DFT, PBE
State: optimized geometry

Cell: 7.9711 7.9711 7.9711 Å, 109.47 109.47 109.47°
Element x y z (fractional)
Ac 0.0000 0.0000 0.0000
Fe 0.0000 0.0000 0.5000
Fe 0.0000 0.5000 0.0000
Fe 0.5000 0.0000 0.0000
Fe 0.5000 0.5000 0.5000
Sb 0.1639 0.5007 0.3368
Sb 0.1639 0.8270 0.6632
Sb 0.1730 0.3368 0.8361
Sb 0.3368 0.1639 0.5007
Sb 0.3368 0.8361 0.1730
Sb 0.4993 0.6632 0.8361
Sb 0.5007 0.3368 0.1639
Sb 0.6632 0.1639 0.8270
Sb 0.6632 0.8361 0.4993
Sb 0.8270 0.6632 0.1639
Sb 0.8361 0.1730 0.3368
Sb 0.8361 0.4993 0.6632

---

Material: Ba2Dy2Sb2O
Method: DFT, PBE
State: optimized geometry

Cell: 5.0938 5.0938 20.2654 Å, 90.00 90.00 120.00°
Element x y z (fractional)
Ba 0.0000 0.0000 0.0000
Ba 0.0000 0.0000 0.2500
Ba 0.0000 0.0000 0.5000
Ba 0.0000 0.0000 0.7500
Dy 0.3333 0.6667 0.1434
Dy 0.3333 0.6667 0.3566
Dy 0.6667 0.3333 0.6434
Dy 0.6667 0.3333 0.8566
Sb 0.3333 0.6667 0.6059
Sb 0.3333 0.6667 0.8941
Sb 0.6667 0.3333 0.1059
Sb 0.6667 0.3333 0.3941
O 0.3333 0.6667 0.2500
O 0.6667 0.3333 0.7500

---

Material: Er4Se3N
Method: DFT, PBE
State: optimized geometry

Cell: 6.8009 6.8009 6.8009 Å, 131.93 131.93 70.34°
Element x y z (fractional)
Er 0.0000 0.5000 0.5000
Er 0.2041 0.2041 0.0000
Er 0.5000 0.0000 0.5000
Er 0.7959 0.7959 0.0000
Se 0.2500 0.7500 0.5000
Se 0.5000 0.5000 0.0000
Se 0.7500 0.2500 0.5000
N 0.0000 0.0000 0.0000

---

Material: Nb4CuBiC2
Method: DFT, PBE
State: optimized geometry

Cell: 3.2593 3.2593 13.5387 Å, 90.00 90.00 120.00°
Element x y z (fractional)
Nb 0.0000 0.0000 0.1501
Nb 0.0000 0.0000 0.8499
Nb 0.3333 0.6667 0.3210
Nb 0.3333 0.6667 0.6790
Cu 0.3333 0.6667 0.0000
Bi 0.0000 0.0000 0.5000
C 0.6667 0.3333 0.2348
C 0.6667 0.3333 0.7652

---

Material: PaP
Method: DFT, PBE
State: optimized geometry

Cell: 5.9537 5.2362 5.3438 Å, 90.00 90.00 90.00°
Element x y z (fractional)
Pa 0.0000 0.0000 0.0000
Pa 0.2500 0.5000 0.2965
Pa 0.5000 0.0000 0.0000
Pa 0.7500 0.5000 0.7035
P 0.2500 0.0000 0.4806
P 0.2500 0.5000 0.8019
P 0.7500 0.0000 0.5194
P 0.7500 0.5000 0.1981

polymorph energy (0 for the lowest one) = 721 meV/atom

---

Result set for E: -4.03 -5.21 -4.84 -3.10 -2.86 -11.05 -5.45 -5.33 -5.13 -6.20 -8.49 -8.06 eV/atom, one per record in the order listed.
Result set for magnetization: 0.0 3.0 0.1 0.0 0.0 0.0 0.0 1.0 0.0 0.0 0.0 0.0 μB per formula unit, one per record in the order listed.